(1)
VASP calculation (PBE-GGA) on a geometry-optimized PmHo2Ru structure.

Uncorrected energy = -24.2 eV per cell
Distance to the lowest polymorph of the same formula = 55 meV/atom
D(E_F) = 2.80 states/eV per cell
Energy relative to the elements = -242 meV per atom

Cell lengths 3.430, 3.430, 8.999 Å; angles 90.00, 90.00, 90.00 degrees
Fractional positions:
Pm 0.000 0.000 0.000
Ho 0.500 0.500 0.319
Ho 0.500 0.500 0.681
Ru 0.000 0.000 0.500


(2)
VASP calculation (PBE-GGA) on a geometry-optimized PmSmHoRu structure.

Uncorrected energy = -90.7 eV per cell
D(E_F) = 28.13 states/eV per cell
Energy relative to the elements = 164 meV per atom

Cell lengths 7.397, 7.397, 7.397 Å; angles 90.00, 90.00, 90.00 degrees
Fractional positions:
Pm 0.000 0.000 0.000
Pm 0.000 0.500 0.500
Pm 0.500 0.000 0.500
Pm 0.500 0.500 0.000
Sm 0.000 0.000 0.500
Sm 0.000 0.500 0.000
Sm 0.500 0.000 0.000
Sm 0.500 0.500 0.500
Ho 0.250 0.250 0.250
Ho 0.250 0.750 0.750
Ho 0.750 0.250 0.750
Ho 0.750 0.750 0.250
Ru 0.250 0.250 0.750
Ru 0.250 0.750 0.250
Ru 0.750 0.250 0.250
Ru 0.750 0.750 0.750


(3)
VASP calculation (PBE-GGA) on a geometry-optimized Pm2HoU2Ru5 structure.

Uncorrected energy = -171.0 eV per cell
D(E_F) = 14.40 states/eV per cell
Energy relative to the elements = -244 meV per atom

Cell lengths 10.784, 10.784, 3.555 Å; angles 90.00, 90.00, 90.00 degrees
Fractional positions:
Pm 0.175 0.325 0.000
Pm 0.325 0.825 0.000
Pm 0.675 0.175 0.000
Pm 0.825 0.675 0.000
Ho 0.000 0.000 0.000
Ho 0.500 0.500 0.000
U 0.136 0.636 0.000
U 0.364 0.136 0.000
U 0.636 0.864 0.000
U 0.864 0.364 0.000
Ru 0.000 0.500 0.500
Ru 0.051 0.785 0.500
Ru 0.215 0.051 0.500
Ru 0.285 0.551 0.500
Ru 0.449 0.285 0.500
Ru 0.500 0.000 0.500
Ru 0.551 0.715 0.500
Ru 0.715 0.449 0.500
Ru 0.785 0.949 0.500
Ru 0.949 0.215 0.500


(4)
VASP calculation (PBE-GGA) on a geometry-optimized PmHoZnRu structure.

Uncorrected energy = -42.1 eV per cell
Distance to the lowest polymorph of the same formula = 10 meV/atom
D(E_F) = 8.71 states/eV per cell
Energy relative to the elements = -294 meV per atom

Cell lengths 4.309, 3.987, 10.651 Å; angles 90.00, 90.00, 90.00 degrees
Fractional positions:
Pm 0.000 0.000 0.000
Pm 0.000 0.500 0.500
Ho 0.500 0.000 0.283
Ho 0.500 0.500 0.783
Zn 0.500 0.000 0.578
Zn 0.500 0.500 0.078
Ru 0.000 0.000 0.722
Ru 0.000 0.500 0.222